Version i
Here is an optimized crystal structure of ZnNi9 from OQMD via LeMat-Bulk. Energies are from PBE-GGA.

Cell lengths 2.491, 3.472, 38.182 Å; angles 90.00, 90.00, 90.00 degrees
Positions (direct):
Ni 0.500 0.500 0.223
Ni 0.000 0.000 0.257
Ni 0.500 0.500 0.289
Ni 0.000 0.000 0.322
Ni 0.500 0.500 0.355
Ni 0.000 0.000 0.387
Ni 0.500 0.500 0.419
Ni 0.000 0.000 0.452
Ni 0.500 0.500 0.484
Ni 0.000 0.000 0.516
Ni 0.500 0.500 0.548
Ni 0.000 0.000 0.581
Ni 0.500 0.500 0.613
Ni 0.000 0.000 0.645
Ni 0.500 0.500 0.678
Ni 0.000 0.000 0.711
Ni 0.500 0.500 0.743
Ni 0.000 0.000 0.777
Zn 0.000 0.000 0.190
Zn 0.500 0.500 0.810

Summary:
The calculated volume comes out at 330 Å³ per cell. For the total magnetization, the calculation gives 9.8 μB per cell. Its space group is Pmmn.

=====

Version ii
Here is an optimized crystal structure of ZnNi9 from OQMD via LeMat-Bulk. Energies are from PBE-GGA.

Cell lengths 2.523, 2.523, 46.722 Å; angles 90.00, 90.00, 90.00 degrees
Positions (direct):
Ni 0.500 0.000 0.192
Ni 0.000 0.500 0.228
Ni 0.500 0.000 0.264
Ni 0.000 0.500 0.301
Ni 0.500 0.000 0.337
Ni 0.000 0.500 0.373
Ni 0.500 0.000 0.409
Ni 0.000 0.500 0.446
Ni 0.500 0.000 0.482
Ni 0.000 0.500 0.518
Ni 0.500 0.000 0.554
Ni 0.000 0.500 0.591
Ni 0.500 0.000 0.627
Ni 0.000 0.500 0.663
Ni 0.500 0.000 0.699
Ni 0.000 0.500 0.736
Ni 0.500 0.000 0.772
Ni 0.000 0.500 0.808
Zn 0.000 0.500 0.155
Zn 0.500 0.000 0.845

Summary:
The calculated volume comes out at 297 Å³ per cell. For the total magnetization, the calculation gives 10.2 μB per cell. Its space group is P4/nmm.

=====

Result of the stability comparison: version i is the least stable of them.

=====

Version i
Here is an optimized crystal structure of Zr3Ni2 from OQMD via LeMat-Bulk. Energies are from PBE-GGA.

Cell lengths 7.355, 7.355, 3.307 Å; angles 90.00, 90.00, 90.00 degrees
Positions (direct):
Ni 0.376 0.124 0.000
Ni 0.876 0.376 0.000
Ni 0.124 0.624 0.000
Ni 0.624 0.876 0.000
Zr 0.000 0.000 0.000
Zr 0.500 0.500 0.000
Zr 0.667 0.167 0.500
Zr 0.167 0.333 0.500
Zr 0.833 0.667 0.500
Zr 0.333 0.833 0.500

Summary:
The calculated volume comes out at 179 Å³ per cell. For the total magnetization, the calculation gives 0.0 μB per cell. Its space group is P4/mbm.

=====

Version ii
Here is an optimized crystal structure of Zr3Ni2 from OQMD via LeMat-Bulk. Energies are from PBE-GGA.

Cell lengths 7.026, 7.026, 5.934 Å; angles 126.30, 53.70, 120.00 degrees
Positions (direct):
Ni 0.593 0.407 0.220
Ni 0.907 0.093 0.280
Ni 0.093 0.907 0.720
Ni 0.407 0.593 0.780
Zr 0.965 0.465 0.250
Zr 0.535 0.750 0.250
Zr 0.250 0.035 0.250
Zr 0.750 0.965 0.750
Zr 0.465 0.250 0.750
Zr 0.035 0.535 0.750

Summary:
The calculated volume comes out at 185 Å³ per cell. For the total magnetization, the calculation gives 0.0 μB per cell. Its space group is R-3c.

=====

Result of the stability comparison: version ii is the least stable of them.

=====

Version i
Here is an optimized crystal structure of NpReOs from OQMD via LeMat-Bulk. Energies are from PBE-GGA.

Cell lengths 4.378, 4.378, 4.378 Å; angles 60.00, 60.00, 60.00 degrees
Positions (direct):
Np 0.000 0.000 0.000
Os 0.250 0.250 0.250
Re 0.750 0.750 0.750

Summary:
The calculated volume comes out at 59 Å³ per cell. For the total magnetization, the calculation gives 1.7 μB per cell. Its space group is F-43m.

=====

Version ii
Here is an optimized crystal structure of NpReOs from OQMD via LeMat-Bulk. Energies are from PBE-GGA.

Cell lengths 4.366, 4.366, 4.366 Å; angles 60.00, 60.00, 60.00 degrees
Positions (direct):
Np 0.000 0.000 0.000
Os 0.500 0.500 0.500
Re 0.250 0.250 0.250

Summary:
The calculated volume comes out at 59 Å³ per cell. For the total magnetization, the calculation gives 2.9 μB per cell. Its space group is F-43m.

=====

Result of the stability comparison: version i is the least stable of them.

=====

Version i
Here is an optimized crystal structure of NpTaOs from OQMD via LeMat-Bulk. Energies are from PBE-GGA.

Cell lengths 4.482, 4.482, 4.482 Å; angles 60.00, 60.00, 60.00 degrees
Positions (direct):
Np 0.250 0.250 0.250
Os 0.000 0.000 0.000
Ta 0.750 0.750 0.750

Summary:
The calculated volume comes out at 64 Å³ per cell. For the total magnetization, the calculation gives 4.1 μB per cell. Its space group is F-43m.

=====

Version ii
Here is an optimized crystal structure of NpTaOs from OQMD via LeMat-Bulk. Energies are from PBE-GGA.

Cell lengths 4.425, 4.425, 4.425 Å; angles 60.00, 60.00, 60.00 degrees
Positions (direct):
Np 0.000 0.000 0.000
Os 0.250 0.250 0.250
Ta 0.750 0.750 0.750

Summary:
The calculated volume comes out at 61 Å³ per cell. For the total magnetization, the calculation gives 2.4 μB per cell. Its space group is F-43m.

=====

Result of the stability comparison: version ii is the least stable of them.

=====

Version i
Here is an optimized crystal structure of NpTlOs from OQMD via LeMat-Bulk. Energies are from PBE-GGA.

Cell lengths 4.702, 4.702, 4.702 Å; angles 60.00, 60.00, 60.00 degrees
Positions (direct):
Np 0.000 0.000 0.000
Os 0.250 0.250 0.250
Tl 0.750 0.750 0.750

Summary:
The calculated volume comes out at 74 Å³ per cell. For the total magnetization, the calculation gives 3.1 μB per cell. Its space group is F-43m.

=====

Version ii
Here is an optimized crystal structure of NpTlOs from OQMD via LeMat-Bulk. Energies are from PBE-GGA.

Cell lengths 4.644, 4.644, 4.644 Å; angles 60.00, 60.00, 60.00 degrees
Positions (direct):
Np 0.250 0.250 0.250
Os 0.000 0.000 0.000
Tl 0.750 0.750 0.750

Summary:
The calculated volume comes out at 71 Å³ per cell. For the total magnetization, the calculation gives 3.4 μB per cell. Its space group is F-43m.

=====

Result of the stability comparison: version i is the least stable of them.

=====

Version i
Here is an optimized crystal structure of NpRePd from OQMD via LeMat-Bulk. Energies are from PBE-GGA.

Cell lengths 4.420, 4.420, 4.420 Å; angles 60.00, 60.00, 60.00 degrees
Positions (direct):
Np 0.500 0.500 0.500
Pd 0.250 0.250 0.250
Re 0.000 0.000 0.000

Summary:
The calculated volume comes out at 61 Å³ per cell. For the total magnetization, the calculation gives 1.5 μB per cell. Its space group is F-43m.

=====

Version ii
Here is an optimized crystal structure of NpRePd from OQMD via LeMat-Bulk. Energies are from PBE-GGA.

Cell lengths 4.426, 4.426, 4.426 Å; angles 60.00, 60.00, 60.00 degrees
Positions (direct):
Np 0.000 0.000 0.000
Pd 0.250 0.250 0.250
Re 0.750 0.750 0.750

Summary:
The calculated volume comes out at 61 Å³ per cell. For the total magnetization, the calculation gives 2.1 μB per cell. Its space group is F-43m.

=====

Result of the stability comparison: version i is the least stable of them.

=====

Version i
Here is an optimized crystal structure of NpScPt from OQMD via LeMat-Bulk. Energies are from PBE-GGA.

Cell lengths 4.722, 4.722, 4.722 Å; angles 60.00, 60.00, 60.00 degrees
Positions (direct):
Np 0.250 0.250 0.250
Pt 0.000 0.000 0.000
Sc 0.750 0.750 0.750

Summary:
The calculated volume comes out at 74 Å³ per cell. For the total magnetization, the calculation gives 5.1 μB per cell. Its space group is F-43m.

=====

Version ii
Here is an optimized crystal structure of NpScPt from OQMD via LeMat-Bulk. Energies are from PBE-GGA.

Cell lengths 4.563, 4.563, 4.563 Å; angles 60.00, 60.00, 60.00 degrees
Positions (direct):
Np 0.000 0.000 0.000
Pt 0.250 0.250 0.250
Sc 0.750 0.750 0.750

Summary:
The calculated volume comes out at 67 Å³ per cell. For the total magnetization, the calculation gives 4.6 μB per cell. Its space group is F-43m.

=====

Result of the stability comparison: version ii is the least stable of them.

=====

Version i
Here is an optimized crystal structure of NpTaPt from OQMD via LeMat-Bulk. Energies are from PBE-GGA.

Cell lengths 4.503, 4.503, 4.503 Å; angles 60.00, 60.00, 60.00 degrees
Positions (direct):
Np 0.000 0.000 0.000
Pt 0.250 0.250 0.250
Ta 0.750 0.750 0.750

Summary:
The calculated volume comes out at 65 Å³ per cell. For the total magnetization, the calculation gives 3.4 μB per cell. Its space group is F-43m.

=====

Version ii
Here is an optimized crystal structure of NpTaPt from OQMD via LeMat-Bulk. Energies are from PBE-GGA.

Cell lengths 4.548, 4.548, 4.548 Å; angles 60.00, 60.00, 60.00 degrees
Positions (direct):
Np 0.250 0.250 0.250
Pt 0.000 0.000 0.000
Ta 0.750 0.750 0.750

Summary:
The calculated volume comes out at 67 Å³ per cell. For the total magnetization, the calculation gives 4.1 μB per cell. Its space group is F-43m.

=====

Result of the stability comparison: version i is the least stable of them.

=====

Version i
Here is an optimized crystal structure of NpSc from OQMD via LeMat-Bulk. Energies are from PBE-GGA.

Cell lengths 4.917, 4.917, 4.561 Å; angles 90.00, 90.00, 120.00 degrees
Positions (direct):
Np 0.000 0.000 0.000
Np 0.000 0.000 0.500
Sc 0.667 0.333 0.250
Sc 0.333 0.667 0.750

Summary:
The calculated volume comes out at 95 Å³ per cell. For the total magnetization, the calculation gives 0.0 μB per cell. Its space group is P6_3/mmc.

=====

Version ii
Here is an optimized crystal structure of NpSc from OQMD via LeMat-Bulk. Energies are from PBE-GGA.

Cell lengths 4.238, 4.238, 4.238 Å; angles 60.00, 60.00, 60.00 degrees
Positions (direct):
Np 0.000 0.000 0.000
Sc 0.500 0.500 0.500

Summary:
The calculated volume comes out at 54 Å³ per cell. For the total magnetization, the calculation gives 5.9 μB per cell. Its space group is Fm-3m.

=====

Result of the stability comparison: version ii is the least stable of them.

=====

Version i
Here is an optimized crystal structure of SmNp from OQMD via LeMat-Bulk. Energies are from PBE-GGA.

Cell lengths 3.343, 3.343, 5.882 Å; angles 90.00, 90.00, 120.00 degrees
Positions (direct):
Np 0.667 0.333 0.750
Sm 0.333 0.667 0.250

Summary:
The calculated volume comes out at 57 Å³ per cell. For the total magnetization, the calculation gives 4.3 μB per cell. Its space group is P-6m2.

=====

Version ii
Here is an optimized crystal structure of SmNp from OQMD via LeMat-Bulk. Energies are from PBE-GGA.

Cell lengths 4.487, 4.487, 4.487 Å; angles 60.00, 60.00, 60.00 degrees
Positions (direct):
Np 0.000 0.000 0.000
Sm 0.500 0.500 0.500

Summary:
The calculated volume comes out at 64 Å³ per cell. For the total magnetization, the calculation gives 5.6 μB per cell. Its space group is Fm-3m.

=====

Version iii
Here is an optimized crystal structure of SmNp from OQMD via LeMat-Bulk. Energies are from PBE-GGA.

Cell lengths 4.523, 4.523, 4.523 Å; angles 60.00, 60.00, 60.00 degrees
Positions (direct):
Np 0.000 0.000 0.000
Sm 0.250 0.250 0.250

Summary:
The calculated volume comes out at 65 Å³ per cell. For the total magnetization, the calculation gives 4.5 μB per cell. Its space group is F-43m.

=====

Result of the stability comparison: version iii is the least stable of them.

=====

Version i
Here is an optimized crystal structure of NpSnW from OQMD via LeMat-Bulk. Energies are from PBE-GGA.

Cell lengths 4.704, 4.704, 4.704 Å; angles 60.00, 60.00, 60.00 degrees
Positions (direct):
Np 0.000 0.000 0.000
Sn 0.250 0.250 0.250
W 0.750 0.750 0.750

Summary:
The calculated volume comes out at 74 Å³ per cell. For the total magnetization, the calculation gives 2.7 μB per cell. Its space group is F-43m.

=====

Version ii
Here is an optimized crystal structure of NpSnW from OQMD via LeMat-Bulk. Energies are from PBE-GGA.

Cell lengths 4.662, 4.662, 4.662 Å; angles 60.00, 60.00, 60.00 degrees
Positions (direct):
Np 0.250 0.250 0.250
Sn 0.750 0.750 0.750
W 0.000 0.000 0.000

Summary:
The calculated volume comes out at 72 Å³ per cell. For the total magnetization, the calculation gives 3.1 μB per cell. Its space group is F-43m.

=====

Result of the stability comparison: version i is the least stable of them.

=====

Version i
Here is an optimized crystal structure of NpTc from OQMD via LeMat-Bulk. Energies are from PBE-GGA.

Cell lengths 3.813, 3.813, 3.813 Å; angles 60.00, 60.00, 60.00 degrees
Positions (direct):
Np 0.000 0.000 0.000
Tc 0.500 0.500 0.500

Summary:
The calculated volume comes out at 39 Å³ per cell. For the total magnetization, the calculation gives 2.1 μB per cell. Its space group is Fm-3m.

=====

Version ii
Here is an optimized crystal structure of NpTc from OQMD via LeMat-Bulk. Energies are from PBE-GGA.

Cell lengths 3.016, 3.016, 4.557 Å; angles 90.00, 90.00, 120.00 degrees
Positions (direct):
Np 0.667 0.333 0.750
Tc 0.333 0.667 0.250

Summary:
The calculated volume comes out at 36 Å³ per cell. For the total magnetization, the calculation gives 2.3 μB per cell. Its space group is P-6m2.

=====

Version iii
Here is an optimized crystal structure of NpTc from OQMD via LeMat-Bulk. Energies are from PBE-GGA.

Cell lengths 4.081, 4.081, 4.081 Å; angles 60.00, 60.00, 60.00 degrees
Positions (direct):
Np 0.000 0.000 0.000
Tc 0.250 0.250 0.250

Summary:
The calculated volume comes out at 48 Å³ per cell. For the total magnetization, the calculation gives 2.4 μB per cell. Its space group is F-43m.

=====

Result of the stability comparison: version iii is the least stable of them.